[1]
The following is a DFT calculation (GGA-PBE) of a relaxed structure of MoAsCSe2.

```
MoAsCSe2
1.0
4.869 0.000 0.000
0.000 4.869 0.000
0.000 0.000 4.945
Mo As C Se
1 1 1 2
Cartesian
0.000 0.000 0.000
0.000 0.000 2.472
2.435 2.435 2.472
0.000 2.435 0.000
2.435 0.000 0.000
```

formation energy from raw total energies	7.89	eV/f.u.
final energy	-4.757	eV per atom
offset from the most stable computed form	165	kJ/mol of formula units

---

[2]
The following is a DFT calculation (GGA-PBE) of a relaxed structure of YZr2Hg.

```
YZr2Hg
1.0
3.262 0.000 0.000
0.000 5.545 0.000
-0.532 0.000 5.415
Y Zr Hg
1 2 1
Cartesian
0.000 0.000 0.000
0.639 2.773 4.015
2.091 2.773 1.400
1.365 0.000 2.708
```

formation energy	-0.01	eV per atom
final energy	-5.977	eV per atom